Below is crystalline AlSn2Au2 at its relaxed geometry, with properties calculated at the PBE level.

Lattice parameters (Å, degrees): 7.0924 7.0924 4.4209 90.00 90.00 90.00
With the nearest neighbours (Å) after each atom.
Space group P4/mbm (No. 127)
Asymmetric unit:
Al  0.0000  0.0000  0.0000 (multiplicity 2)  4 Au 2.71
Sn  0.1654  0.3346  0.5000 (multiplicity 4)  6 Au 2.90-3.14
Au  0.1481  0.6481  0.0000 (multiplicity 4)  2 Al 2.71, 2 Sn 2.90, 1 Au 2.97

Computed properties:
Crystal system = tetragonal
Energy of formation from the pure elements = -0.059 eV per atom


Below is crystalline LaCuTc2 at its relaxed geometry, with properties calculated at the PBE level.

Lattice parameters (Å, degrees): 3.1043 4.2684 5.7424 90.00 102.07 90.00
With the nearest neighbours (Å) after each atom.
Space group Pm (No. 6)
Asymmetric unit:
La  0.0000  0.0000  0.0000 (multiplicity 1)  1 Tc 2.76, 4 Cu 2.97-2.99
Cu  0.3970  0.5000  0.7539 (multiplicity 1)  4 Tc 2.64-2.71
Tc  0.3966  0.0000  0.4783 (multiplicity 1)  2 Tc 2.51, 2 Cu 2.66, 1 La 2.76
Tc  0.7279  0.5000  0.3665 (multiplicity 1)  2 Tc 2.51, 2 Cu 2.64-2.71

Computed properties:
Crystal system = monoclinic
Energy of formation from the pure elements = 0.264 eV per atom


Below is crystalline VNi2Ru at its relaxed geometry, with properties calculated at the PBE level.

Lattice parameters (Å, degrees): 3.4714 3.4714 17.4550 90.00 90.00 90.00
With the nearest neighbours (Å) after each atom.
Space group I-42d (No. 122)
Asymmetric unit:
V  0.0000  0.0000  0.0000 (multiplicity 4)  4 Ru 2.45, 4 Ni 2.50
Ni  0.2497  0.2500  0.1250 (multiplicity 8)  4 Ni 2.45-2.46, 2 V 2.50, 2 Ru 2.50
Ru  0.0000  0.0000  0.5000 (multiplicity 4)  4 V 2.45, 4 Ni 2.50

Computed properties:
Crystal system = tetragonal
Energy of formation from the pure elements = 0.270 eV per atom


Below is crystalline TaV2NiBi at its relaxed geometry, with properties calculated at the PBE level.

Lattice parameters (Å, degrees): 4.4420 4.4420 4.7022 90.00 90.00 90.00
With the nearest neighbours (Å) after each atom.
Space group P4/mmm (No. 123)
Asymmetric unit:
Ta  0.0000  0.0000  0.0000 (multiplicity 1)  4 Bi 3.14, 8 V 3.23
V  0.0000  0.5000  0.5000 (multiplicity 2)  2 Ni 2.22
Ni  0.5000  0.5000  0.5000 (multiplicity 1)  4 V 2.22, 2 Bi 2.35
Bi  0.5000  0.5000  0.0000 (multiplicity 1)  2 Ni 2.35

Computed properties:
Crystal system = tetragonal
Energy of formation from the pure elements = 1.102 eV per atom


Below is crystalline Li2SbMo at its relaxed geometry, with properties calculated at the PBE level.

Lattice parameters (Å, degrees): 5.4438 9.2081 2.8271 90.00 90.00 90.00
With the nearest neighbours (Å) after each atom.
Space group Cmmm (No. 65)
Asymmetric unit:
Li  0.2500  0.2500  0.0000 (multiplicity 4)  4 Li 2.72-2.83, 4 Sb 3.02, 4 Mo 3.02
Sb  0.0000  0.0000  0.5000 (multiplicity 2)  2 Mo 2.72, 2 Sb 2.83, 8 Li 3.02
Mo  0.0000  0.5000  0.5000 (multiplicity 2)  2 Sb 2.72, 2 Mo 2.83, 8 Li 3.02

Computed properties:
Crystal system = orthorhombic
Formation energy (no corrections) = 5.1 kcal/mol of atoms


Below is crystalline SbC4 at its relaxed geometry, with properties calculated at the PBE level.

Lattice parameters (Å, degrees): 5.5754 5.5754 4.4229 90.00 90.00 90.00
With the nearest neighbours (Å) after each atom.
Space group I4/m (No. 87)
Asymmetric unit:
Sb  0.0000  0.0000  0.0000 (multiplicity 2)  4 C 2.32
C  0.0758  0.4098  0.0000 (multiplicity 8)  1 C 1.31

Computed properties:
Crystal system = tetragonal
Formation energy (no corrections) = 50.9 kcal/mol of atoms


Below is crystalline Be5Cu at its relaxed geometry, with properties calculated at the PBE level.

Lattice parameters (Å, degrees): 2.5899 2.5899 7.6244 90.00 90.00 90.00
With the nearest neighbours (Å) after each atom.
Space group P4/mmm (No. 123)
Asymmetric unit:
Be  0.0000  0.0000  0.0000 (multiplicity 1)  10 Be 2.19-2.42
Be  0.0000  0.0000  0.3174 (multiplicity 2)  5 Be 2.20-2.42, 4 Cu 2.30
Be  0.5000  0.5000  0.1578 (multiplicity 2)  9 Be 2.19-2.41
Cu  0.5000  0.5000  0.5000 (multiplicity 1)  8 Be 2.30

Computed properties:
Crystal system = tetragonal
Energy of formation from the pure elements = -0.018 eV per atom


Below is crystalline SrTlNi at its relaxed geometry, with properties calculated at the PBE level.

Lattice parameters (Å, degrees): 7.2334 7.2334 7.2334 90.00 90.00 90.00
With the nearest neighbours (Å) after each atom.
Space group F-43m (No. 216)
Asymmetric unit:
Sr  0.0000  0.0000  0.0000 (multiplicity 4)  4 Tl 3.13, 4 Ni 3.13
Tl  0.2500  0.2500  0.7500 (multiplicity 4)  4 Sr 3.13
Ni  0.2500  0.2500  0.2500 (multiplicity 4)  4 Sr 3.13

Computed properties:
Crystal system = cubic
Energy of formation from the pure elements = 0.573 eV per atom